# 1
## CsMgIrW (PBE-GGA)

Data for crystalline CsMgIrW at its relaxed geometry.

Properties
The total moment comes out at 3.2 μB per formula unit. Its total energy is -4.348 eV/atom. As for the space group: F-43m, No. 216.

Lattice parameters (Å, degrees): 5.001 5.001 5.001 60.00 60.00 60.00
Positions (direct):
1 Cs 0.000 0.000 0.000
2 Mg 0.250 0.250 0.250
3 Ir 0.750 0.750 0.750
4 W 0.500 0.500 0.500


# 2
## KGdPdS3 (PBE-GGA)

Data for crystalline KGdPdS3 at its relaxed geometry.

Properties
The total moment comes out at 0.0 μB per formula unit. Its total energy is -5.082 eV/atom. As for the space group: Cmcm, No. 63.

Lattice parameters (Å, degrees): 7.770 7.770 9.900 90.00 90.00 149.55
Positions (direct):
1 K 0.244 0.756 0.750
2 K 0.756 0.244 0.250
3 Gd 0.000 0.000 0.000
4 Gd 0.000 0.000 0.500
5 Pd 0.498 0.502 0.250
6 Pd 0.502 0.498 0.750
7 S 0.090 0.910 0.250
8 S 0.386 0.614 0.080
9 S 0.386 0.614 0.420
10 S 0.614 0.386 0.580
11 S 0.614 0.386 0.920
12 S 0.910 0.090 0.750


# 3
## LiHf2O6 (PBE-GGA)

Data for crystalline LiHf2O6 at its relaxed geometry.

Properties
The total moment comes out at 3.0 μB per formula unit. Its total energy is -7.918 eV/atom. As for the space group: C2/m, No. 12.

Lattice parameters (Å, degrees): 5.528 5.528 5.003 105.27 105.27 118.12
Positions (direct):
1 Li 0.000 0.000 0.000
2 Hf 0.179 0.821 0.500
3 Hf 0.821 0.179 0.500
4 O 0.008 0.373 0.239
5 O 0.201 0.201 0.743
6 O 0.373 0.008 0.239
7 O 0.627 0.992 0.761
8 O 0.799 0.799 0.257
9 O 0.992 0.627 0.761


# 4
## LiSi2Pd2 (PBE-GGA)

Data for crystalline LiSi2Pd2 at its relaxed geometry.

Properties
Its total energy is -5.184 eV/atom. As for the space group: Cmcm, No. 63.

Lattice parameters (Å, degrees): 4.550 4.550 7.800 90.00 90.00 77.51
Positions (direct):
1 Li 0.239 0.761 0.750
2 Li 0.761 0.239 0.250
3 Si 0.316 0.684 0.096
4 Si 0.316 0.684 0.404
5 Si 0.684 0.316 0.596
6 Si 0.684 0.316 0.904
7 Pd 0.203 0.203 0.000
8 Pd 0.203 0.203 0.500
9 Pd 0.797 0.797 0.000
10 Pd 0.797 0.797 0.500


# 5
## Be2Cd2O5 (PBE-GGA)

Data for crystalline Be2Cd2O5 at its relaxed geometry.

Properties
Its total energy is -5.032 eV/atom. As for the space group: P4/mmm, No. 123.

Lattice parameters (Å, degrees): 3.410 3.410 7.466 90.00 90.00 90.00
Positions (direct):
1 Be 0.000 0.000 0.222
2 Be 0.000 0.000 0.778
3 Cd 0.500 0.500 0.000
4 Cd 0.500 0.500 0.500
5 O 0.000 0.000 0.000
6 O 0.000 0.500 0.284
7 O 0.000 0.500 0.716
8 O 0.500 0.000 0.284
9 O 0.500 0.000 0.716


# 6
## KCuPtW (PBE-GGA)

Data for crystalline KCuPtW at its relaxed geometry.

Properties
The total moment comes out at 0.0 μB per formula unit. Its total energy is -4.834 eV/atom. As for the space group: F-43m, No. 216.

Lattice parameters (Å, degrees): 4.658 4.658 4.658 60.00 60.00 60.00
Positions (direct):
1 K 0.000 0.000 0.000
2 Cu 0.750 0.750 0.750
3 Pt 0.250 0.250 0.250
4 W 0.500 0.500 0.500